Computed, not measured: crystalline Li3CrO4 at its relaxed geometry at the PBE+U level of DFT.

Geometry as CIF:
```
data_Li3CrO4
_chemical_formula_sum 'Li18 Cr6 O24'
_space_group_name_H-M_alt 'P 1'
_space_group_IT_number 1
_cell_length_a 5.7872
_cell_length_b 5.8037
_cell_length_c 12.6640
_cell_angle_alpha 77.56
_cell_angle_beta 90.00
_cell_angle_gamma 90.00
loop_
_space_group_symop_operation_xyz
'x,y,z'
loop_
_atom_site_label
_atom_site_type_symbol
_atom_site_fract_x
_atom_site_fract_y
_atom_site_fract_z
_atom_site_occupancy
Li1 Li 0.4861 0.0000 0.0000 1
Li2 Li 0.9774 0.0000 0.0000 1
Li3 Li 0.1996 0.0000 0.5000 1
Li4 Li 0.7086 0.0000 0.5000 1
Li5 Li 0.7345 0.1595 0.1678 1
Li6 Li 0.2226 0.1724 0.1585 1
Li7 Li 0.9556 0.3358 0.3324 1
Li8 Li 0.9510 0.1590 0.6678 1
Li9 Li 0.4737 0.5000 0.0000 1
Li10 Li 0.4632 0.1724 0.6584 1
Li11 Li 0.7300 0.3355 0.8325 1
Li12 Li 0.2121 0.5000 0.5000 1
Li13 Li 0.7300 0.6645 0.1675 1
Li14 Li 0.4632 0.8276 0.3416 1
Li15 Li 0.9510 0.8410 0.3322 1
Li16 Li 0.9556 0.6642 0.6676 1
Li17 Li 0.2226 0.8276 0.8415 1
Li18 Li 0.7345 0.8405 0.8322 1
Cr1 Cr 0.4582 0.3055 0.3311 1
Cr2 Cr 0.9517 0.5000 0.0000 1
Cr3 Cr 0.2275 0.3053 0.8311 1
Cr4 Cr 0.7341 0.5000 0.5000 1
Cr5 Cr 0.2275 0.6947 0.1689 1
Cr6 Cr 0.4582 0.6945 0.6689 1
O1 O 0.6942 0.1037 0.3286 1
O2 O 0.7456 0.2701 0.0049 1
O3 O 0.2332 0.1053 0.3388 1
O4 O 0.4670 0.4245 0.1816 1
O5 O 0.9915 0.1036 0.8286 1
O6 O 0.9402 0.2701 0.5050 1
O7 O 0.9996 0.4353 0.1530 1
O8 O 0.4524 0.1051 0.8388 1
O9 O 0.4715 0.2741 0.4874 1
O10 O 0.2143 0.7259 0.0127 1
O11 O 0.6862 0.5647 0.3470 1
O12 O 0.2188 0.5755 0.3184 1
O13 O 0.2188 0.4245 0.6816 1
O14 O 0.6862 0.4353 0.6530 1
O15 O 0.2143 0.2741 0.9873 1
O16 O 0.4715 0.7259 0.5126 1
O17 O 0.4524 0.8949 0.1612 1
O18 O 0.9996 0.5647 0.8470 1
O19 O 0.9402 0.7299 0.4950 1
O20 O 0.9915 0.8964 0.1714 1
O21 O 0.4670 0.5755 0.8184 1
O22 O 0.2332 0.8947 0.6612 1
O23 O 0.7456 0.7299 0.9951 1
O24 O 0.6942 0.8963 0.6714 1
```

energy: -5.9027 eV/atom
total magnetic moment: 1.00 μB per formula unit
relative energy among the computed polymorphs: 7.1 kJ per mole of atoms
space-group type: No. 13